VAg2TeO6 after structural relaxation. Source: the Alexandria database, functional PBE+U.

The total energy comes out at -5.444 eV per atom.

abc: 4.171 5.502 5.502
angles: 90.00 90.00 90.00
Fractional coordinates of all 10 atoms:
O  0.670  0.259  0.259
O  0.179  0.500  0.500
O  0.670  0.259  0.741
O  0.670  0.741  0.259
O  0.670  0.741  0.741
O  0.151  0.000  0.000
V  0.581  0.500  0.500
Te  0.639  0.000  0.000
Ag  0.109  0.500  0.000
Ag  0.109  0.000  0.500